Entry 1:
VASP calculation (GGA-PBE) on crystalline Li2TlPd at its relaxed geometry.

Structure (CIF):
```
data_Li2TlPd
_symmetry_space_group_name_H-M 'P 63/m m c'
_symmetry_Int_Tables_number 194
_symmetry_space_group_name_Hall '-P 6c 2c'
_cell_length_a 4.3329
_cell_length_b 4.3329
_cell_length_c 8.2920
_cell_angle_alpha 90.00
_cell_angle_beta 90.00
_cell_angle_gamma 120.00
loop_
_atom_site_label
_atom_site_fract_x
_atom_site_fract_y
_atom_site_fract_z
Li1 0.3333 0.6667 0.0826
Tl1 0.3333 0.6667 0.7500
Pd1 0.0000 0.0000 0.0000
```

***

Entry 2:
VASP calculation (GGA-PBE) on crystalline Li2TlPd at its relaxed geometry.

Structure (CIF):
```
data_Li2TlPd
_symmetry_space_group_name_H-M 'F m -3 m'
_symmetry_Int_Tables_number 225
_symmetry_space_group_name_Hall '-F 4 2 3'
_cell_length_a 6.319
_cell_length_b 6.319
_cell_length_c 6.319
_cell_angle_alpha 90.00
_cell_angle_beta 90.00
_cell_angle_gamma 90.00
loop_
_atom_site_label
_atom_site_fract_x
_atom_site_fract_y
_atom_site_fract_z
Li1 0.250 0.250 0.250
Tl1 0.000 0.000 0.000
Pd1 0.000 0.000 0.500
```

***

Calculated DFT total energy (eV/cell), listed in the same order as above: -24.42; -51.14